## Tl5Pd3 (PBE)

Data for a relaxed structure of Tl5Pd3.

Geometry as CIF:
```
data_Tl5Pd3
_symmetry_space_group_name_H-M 'P 1'
_symmetry_Int_Tables_number 1
_symmetry_space_group_name_Hall 'P 1'
_cell_length_a 6.3884
_cell_length_b 7.4267
_cell_length_c 8.6260
_cell_angle_alpha 86.09
_cell_angle_beta 68.27
_cell_angle_gamma 79.39
loop_
_atom_site_label
_atom_site_fract_x
_atom_site_fract_y
_atom_site_fract_z
_atom_site_occupancy
Tl1 0.7422 0.5256 0.5000 1
Tl2 0.3927 0.8708 0.2854 1
Tl3 0.1781 0.8708 0.7146 1
Tl4 0.6063 0.1302 0.7147 1
Tl5 0.6530 0.6946 0.8710 1
Tl6 0.3465 0.3060 0.1289 1
Tl7 0.8211 0.1302 0.2853 1
Tl8 0.0240 0.6946 0.1290 1
Tl9 0.9754 0.3060 0.8711 1
Tl10 0.2565 0.4754 0.5000 1
Pd1 0.9400 0.8289 0.5000 1
Pd2 0.6537 0.5005 0.1917 1
Pd3 0.0589 0.1721 0.5000 1
Pd4 0.3454 0.5005 0.8083 1
Pd5 0.2559 0.0002 0.9878 1
Pd6 0.7437 0.0002 0.0122 1
```

Output
The value obtained for the total magnetic moment is 0.000 μB/atom. The density of states at the Fermi level is 6.650 states/eV per cell. The calculation puts the uncorrected energy at -56.0 eV/cell.

***

## TlPd7 (PBE)

Data for a relaxed structure of TlPd7.

Geometry as CIF:
```
data_TlPd7
_symmetry_space_group_name_H-M 'P 1'
_symmetry_Int_Tables_number 1
_symmetry_space_group_name_Hall 'P 1'
_cell_length_a 5.6801
_cell_length_b 5.6801
_cell_length_c 5.6801
_cell_angle_alpha 60.00
_cell_angle_beta 60.00
_cell_angle_gamma 60.00
loop_
_atom_site_label
_atom_site_fract_x
_atom_site_fract_y
_atom_site_fract_z
_atom_site_occupancy
Pd1 0.5000 0.0000 0.0000 1
Pd2 0.5000 0.5000 0.0000 1
Pd3 0.5000 0.0000 0.5000 1
Pd4 0.0000 0.5000 0.5000 1
Pd5 0.5000 0.5000 0.5000 1
Pd6 0.0000 0.0000 0.5000 1
Pd7 0.0000 0.5000 0.0000 1
Tl1 0.0000 0.0000 0.0000 1
```

Output
The value obtained for the total magnetic moment is 0.000 μB/atom. The density of states at the Fermi level is 12.937 states/eV per cell. The calculation puts the uncorrected energy at -39.4 eV/cell.

***

## TlPd (PBE)

Data for a relaxed structure of TlPd.

Geometry as CIF:
```
data_TlPd
_symmetry_space_group_name_H-M 'P 1'
_symmetry_Int_Tables_number 1
_symmetry_space_group_name_Hall 'P 1'
_cell_length_a 6.2231
_cell_length_b 6.2231
_cell_length_c 6.2231
_cell_angle_alpha 90.00
_cell_angle_beta 90.00
_cell_angle_gamma 90.00
loop_
_atom_site_label
_atom_site_fract_x
_atom_site_fract_y
_atom_site_fract_z
_atom_site_occupancy
Pd1 0.2500 0.7500 0.7500 1
Pd2 0.7500 0.2500 0.7500 1
Pd3 0.7500 0.7500 0.2500 1
Pd4 0.2500 0.2500 0.2500 1
Tl1 0.0000 0.5000 0.5000 1
Tl2 0.0000 0.0000 0.0000 1
Tl3 0.5000 0.0000 0.5000 1
Tl4 0.5000 0.5000 0.0000 1
```

Output
The value obtained for the total magnetic moment is 0.000 μB/atom. The density of states at the Fermi level is 5.545 states/eV per cell. The calculation puts the uncorrected energy at -28.0 eV/cell.

***

## Tl7Pd3 (PBE)

Data for a relaxed structure of Tl7Pd3.

Geometry as CIF:
```
data_Tl7Pd3
_symmetry_space_group_name_H-M 'P 1'
_symmetry_Int_Tables_number 1
_symmetry_space_group_name_Hall 'P 1'
_cell_length_a 8.6043
_cell_length_b 8.6043
_cell_length_c 8.6043
_cell_angle_alpha 109.47
_cell_angle_beta 109.47
_cell_angle_gamma 109.47
loop_
_atom_site_label
_atom_site_fract_x
_atom_site_fract_y
_atom_site_fract_z
_atom_site_occupancy
Pd1 0.3506 0.3506 0.0000 1
Pd2 0.6494 0.0000 0.6494 1
Pd3 0.6494 0.6494 0.0000 1
Pd4 0.0000 0.6494 0.6494 1
Pd5 0.0000 0.3506 0.3506 1
Pd6 0.3506 0.0000 0.3506 1
Tl1 0.0000 0.0000 0.6760 1
Tl2 0.5000 0.7500 0.2500 1
Tl3 0.7500 0.2500 0.5000 1
Tl4 0.6760 0.0000 0.0000 1
Tl5 0.7500 0.5000 0.2500 1
Tl6 0.3240 0.0000 0.0000 1
Tl7 0.0000 0.0000 0.3240 1
Tl8 0.5000 0.2500 0.7500 1
Tl9 0.6760 0.6760 0.6760 1
Tl10 0.3240 0.3240 0.3240 1
Tl11 0.2500 0.5000 0.7500 1
Tl12 0.2500 0.7500 0.5000 1
Tl13 0.0000 0.3240 0.0000 1
Tl14 0.0000 0.6760 0.0000 1
```

Output
The value obtained for the total magnetic moment is 0.000 μB/atom. The density of states at the Fermi level is 8.398 states/eV per cell. The calculation puts the uncorrected energy at -66.6 eV/cell.

***

## Tl5Pd2 (PBE)

Data for a relaxed structure of Tl5Pd2.

Geometry as CIF:
```
data_Tl5Pd2
_symmetry_space_group_name_H-M 'P 1'
_symmetry_Int_Tables_number 1
_symmetry_space_group_name_Hall 'P 1'
_cell_length_a 6.2892
_cell_length_b 7.4970
_cell_length_c 8.2469
_cell_angle_alpha 99.73
_cell_angle_beta 112.41
_cell_angle_gamma 90.00
loop_
_atom_site_label
_atom_site_fract_x
_atom_site_fract_y
_atom_site_fract_z
_atom_site_occupancy
Pd1 0.1732 0.9139 0.7787 1
Pd2 0.8268 0.0861 0.2213 1
Pd3 0.6055 0.4139 0.7787 1
Pd4 0.3945 0.5861 0.2213 1
Tl1 0.7771 0.0657 0.8161 1
Tl2 0.8211 0.8010 0.4345 1
Tl3 0.1789 0.1990 0.5655 1
Tl4 0.0390 0.5657 0.8161 1
Tl5 0.4023 0.2500 0.0000 1
Tl6 0.3866 0.6990 0.5655 1
Tl7 0.5977 0.7500 0.0000 1
Tl8 0.2229 0.9343 0.1839 1
Tl9 0.6134 0.3010 0.4345 1
Tl10 0.9610 0.4343 0.1839 1
```

Output
The value obtained for the total magnetic moment is 0.000 μB/atom. The density of states at the Fermi level is 5.491 states/eV per cell. The calculation puts the uncorrected energy at -45.5 eV/cell.

***

## Tl4Pd5 (PBE)

Data for a relaxed structure of Tl4Pd5.

Geometry as CIF:
```
data_Tl4Pd5
_symmetry_space_group_name_H-M 'P 1'
_symmetry_Int_Tables_number 1
_symmetry_space_group_name_Hall 'P 1'
_cell_length_a 3.3994
_cell_length_b 7.5094
_cell_length_c 7.5094
_cell_angle_alpha 73.37
_cell_angle_beta 76.76
_cell_angle_gamma 76.76
loop_
_atom_site_label
_atom_site_fract_x
_atom_site_fract_y
_atom_site_fract_z
_atom_site_occupancy
Tl1 0.6491 0.6954 0.0057 1
Tl2 0.3509 0.6379 0.6609 1
Tl3 0.3509 0.9943 0.3046 1
Tl4 0.6491 0.3391 0.3621 1
Pd1 0.0000 0.3169 0.6831 1
Pd2 0.6777 0.9903 0.6570 1
Pd3 0.0000 0.6667 0.3333 1
Pd4 0.0000 0.0165 0.9835 1
Pd5 0.3223 0.3430 0.0097 1
```

Output
The value obtained for the total magnetic moment is 0.000 μB/atom. The density of states at the Fermi level is 3.167 states/eV per cell. The calculation puts the uncorrected energy at -35.8 eV/cell.

***

## TlPd3 (PBE)

Data for a relaxed structure of TlPd3.

Geometry as CIF:
```
data_TlPd3
_symmetry_space_group_name_H-M 'P 1'
_symmetry_Int_Tables_number 1
_symmetry_space_group_name_Hall 'P 1'
_cell_length_a 4.2205
_cell_length_b 4.2210
_cell_length_c 4.8467
_cell_angle_alpha 115.81
_cell_angle_beta 115.81
_cell_angle_gamma 90.00
loop_
_atom_site_label
_atom_site_fract_x
_atom_site_fract_y
_atom_site_fract_z
_atom_site_occupancy
Pd1 0.2501 0.6667 0.5001 1
Pd2 0.5000 0.4167 0.0000 1
Pd3 0.7499 0.1666 0.4999 1
Tl1 0.0000 0.9167 0.0000 1
```

Output
The value obtained for the total magnetic moment is 0.000 μB/atom. The density of states at the Fermi level is 1.317 states/eV per cell. The calculation puts the uncorrected energy at -18.8 eV/cell.

***

## Tl3Pd13 (PBE)

Data for a relaxed structure of Tl3Pd13.

Geometry as CIF:
```
data_Tl3Pd13
_symmetry_space_group_name_H-M 'P 1'
_symmetry_Int_Tables_number 1
_symmetry_space_group_name_Hall 'P 1'
_cell_length_a 5.6938
_cell_length_b 5.6938
_cell_length_c 8.2412
_cell_angle_alpha 90.00
_cell_angle_beta 90.00
_cell_angle_gamma 93.55
loop_
_atom_site_label
_atom_site_fract_x
_atom_site_fract_y
_atom_site_fract_z
_atom_site_occupancy
Pd1 0.2254 0.2445 0.0000 1
Pd2 0.5090 0.0020 0.7481 1
Pd3 0.7555 0.7746 0.0000 1
Pd4 0.2593 0.2535 0.5000 1
Pd5 0.4930 0.5070 0.7481 1
Pd6 0.9980 0.4910 0.7481 1
Pd7 0.7477 0.2523 0.5000 1
Pd8 0.4930 0.5070 0.2519 1
Pd9 0.7465 0.7407 0.5000 1
Pd10 0.2589 0.7411 0.0000 1
Pd11 0.9980 0.4910 0.2519 1
Pd12 0.2608 0.7392 0.5000 1
Pd13 0.5090 0.0020 0.2519 1
Tl1 0.7175 0.2825 0.0000 1
Tl2 0.0143 0.9857 0.7379 1
Tl3 0.0143 0.9857 0.2621 1
```

Output
The value obtained for the total magnetic moment is 0.000 μB/atom. The density of states at the Fermi level is 20.445 states/eV per cell. The calculation puts the uncorrected energy at -76.5 eV/cell.

***

## Tl6Pd5 (PBE)

Data for a relaxed structure of Tl6Pd5.

Geometry as CIF:
```
data_Tl6Pd5
_symmetry_space_group_name_H-M 'P 1'
_symmetry_Int_Tables_number 1
_symmetry_space_group_name_Hall 'P 1'
_cell_length_a 8.1793
_cell_length_b 6.7748
_cell_length_c 5.6052
_cell_angle_alpha 80.44
_cell_angle_beta 74.03
_cell_angle_gamma 52.87
loop_
_atom_site_label
_atom_site_fract_x
_atom_site_fract_y
_atom_site_fract_z
_atom_site_occupancy
Tl1 0.2019 0.0000 0.2914 1
Tl2 0.6330 0.3115 0.2091 1
Tl3 0.3670 0.6885 0.7909 1
Tl4 0.9445 0.6885 0.2091 1
Tl5 0.0555 0.3115 0.7909 1
Tl6 0.7981 0.0000 0.7086 1
Pd1 0.7749 0.4503 0.5000 1
Pd2 0.3650 0.2700 0.0000 1
Pd3 0.6350 0.7300 0.0000 1
Pd4 0.5000 0.0000 0.5000 1
Pd5 0.2251 0.5497 0.5000 1
```

Output
The value obtained for the total magnetic moment is 0.000 μB/atom. The density of states at the Fermi level is 4.050 states/eV per cell. The calculation puts the uncorrected energy at -41.0 eV/cell.

***

## Tl2Pd (PBE)

Data for a relaxed structure of Tl2Pd.

Geometry as CIF:
```
data_Tl2Pd
_symmetry_space_group_name_H-M 'P 1'
_symmetry_Int_Tables_number 1
_symmetry_space_group_name_Hall 'P 1'
_cell_length_a 3.3560
_cell_length_b 3.3560
_cell_length_c 7.9910
_cell_angle_alpha 113.89
_cell_angle_beta 113.89
_cell_angle_gamma 90.25
loop_
_atom_site_label
_atom_site_fract_x
_atom_site_fract_y
_atom_site_fract_z
_atom_site_occupancy
Tl1 0.7474 0.7474 0.7344 1
Tl2 0.2526 0.2526 0.2656 1
Pd1 0.5000 0.5000 0.0000 1
```

Output
The value obtained for the total magnetic moment is 0.000 μB/atom. The density of states at the Fermi level is 0.906 states/eV per cell. The calculation puts the uncorrected energy at -10.1 eV/cell.

***

## Tl3Pd (PBE)

Data for a relaxed structure of Tl3Pd.

Geometry as CIF:
```
data_Tl3Pd
_symmetry_space_group_name_H-M 'P 1'
_symmetry_Int_Tables_number 1
_symmetry_space_group_name_Hall 'P 1'
_cell_length_a 4.6420
_cell_length_b 4.6420
_cell_length_c 4.6420
_cell_angle_alpha 90.00
_cell_angle_beta 90.00
_cell_angle_gamma 90.00
loop_
_atom_site_label
_atom_site_fract_x
_atom_site_fract_y
_atom_site_fract_z
_atom_site_occupancy
Tl1 0.0000 0.5000 0.5000 1
Tl2 0.5000 0.0000 0.5000 1
Tl3 0.5000 0.5000 0.0000 1
Pd1 0.0000 0.0000 0.0000 1
```

Output
The value obtained for the total magnetic moment is 0.000 μB/atom. The density of states at the Fermi level is 2.699 states/eV per cell. The calculation puts the uncorrected energy at -11.9 eV/cell. The energy above the most stable polymorph in this dataset comes out at 0.149 eV per atom.

***

## Tl9Pd13 (PBE)

Data for a relaxed structure of Tl9Pd13.

Geometry as CIF:
```
data_Tl9Pd13
_symmetry_space_group_name_H-M 'P 1'
_symmetry_Int_Tables_number 1
_symmetry_space_group_name_Hall 'P 1'
_cell_length_a 9.1285
_cell_length_b 9.1285
_cell_length_c 5.7851
_cell_angle_alpha 90.00
_cell_angle_beta 90.00
_cell_angle_gamma 120.00
loop_
_atom_site_label
_atom_site_fract_x
_atom_site_fract_y
_atom_site_fract_z
_atom_site_occupancy
Pd1 0.0000 0.0000 0.0000 1
Pd2 0.8404 0.6809 0.2471 1
Pd3 0.8404 0.1596 0.2471 1
Pd4 0.5000 0.5000 0.5000 1
Pd5 0.5000 0.5000 0.0000 1
Pd6 0.1596 0.8404 0.7529 1
Pd7 0.6809 0.8404 0.7529 1
Pd8 0.0000 0.5000 0.5000 1
Pd9 0.5000 0.0000 0.5000 1
Pd10 0.1596 0.3191 0.7529 1
Pd11 0.3191 0.1596 0.2471 1
Pd12 0.5000 0.0000 0.0000 1
Pd13 0.0000 0.5000 0.0000 1
Tl1 0.1924 0.3849 0.2462 1
Tl2 0.0000 0.0000 0.5000 1
Tl3 0.3849 0.1924 0.7538 1
Tl4 0.8076 0.1924 0.7538 1
Tl5 0.6151 0.8076 0.2462 1
Tl6 0.6667 0.3333 0.2551 1
Tl7 0.1924 0.8076 0.2462 1
Tl8 0.8076 0.6151 0.7538 1
Tl9 0.3333 0.6667 0.7449 1
```

Output
The value obtained for the total magnetic moment is 0.000 μB/atom. The density of states at the Fermi level is 8.270 states/eV per cell. The calculation puts the uncorrected energy at -93.3 eV/cell.